Computed, not measured: CrInTc at its PBEsol-relaxed geometry at the SCAN level of DFT.

Cell: 4.1909 4.1909 4.1909 Å, 60.00 60.00 60.00°
Last column: nearest neighbours and their distance in Å.
Positions (direct):
Cr  0.7500  0.7500  0.7500  4 In 2.57, 4 Tc 2.57
Tc  0.5000  0.5000  0.5000  4 Cr 2.57
In  0.0000  0.0000  0.0000  4 Cr 2.57

- symmetry = F-43m (216)
- theoretical density (kg/m³) = 8449
- energy (eV/atom) = -28.495
- magnetic moment (μB/cell) = 2.0

=====

Computed, not measured: CrInTe2 at its PBEsol-relaxed geometry at the SCAN level of DFT.

Cell: 4.0339 4.0339 7.6861 Å, 74.79 74.79 60.00°
Last column: nearest neighbours and their distance in Å.
Positions (direct):
Cr  0.5000  0.5000  0.5000  6 Te 2.74
In  0.0000  0.0000  0.0000  6 Te 3.21
Te  0.7673  0.7673  0.6981  3 Cr 2.74
Te  0.2327  0.2327  0.3019  3 Cr 2.74

- symmetry = R-3m (166)
- theoretical density (kg/m³) = 6789
- energy (eV/atom) = -31.917
- magnetic moment (μB/cell) = 3.2

=====

Computed, not measured: CrInTe2 at its PBEsol-relaxed geometry at the SCAN level of DFT.

Cell: 3.5752 3.7007 8.3814 Å, 102.75 102.31 90.00°
Last column: nearest neighbours and their distance in Å.
Positions (direct):
Cr  0.4519  0.4519  0.9037  6 Te 2.70-2.80
Te  0.0209  0.0209  0.0419  4 Cr 2.80
In  0.2023  0.7023  0.4047  6 Te 3.23-3.44, 2 In 3.58
Te  0.8249  0.3249  0.6497  2 Cr 2.70

- symmetry = Imm2 (44)
- theoretical density (kg/m³) = 6640
- energy (eV/atom) = -31.698
- magnetic moment (μB/cell) = 3.1

=====

Computed, not measured: TlCr3In at its PBEsol-relaxed geometry at the SCAN level of DFT.

Cell: 5.0754 5.0754 5.0754 Å, 90.00 90.00 90.00°
Last column: nearest neighbours and their distance in Å.
Positions (direct):
Tl  0.0000  0.0000  0.0000  6 Cr 2.54
Cr  0.0000  0.0000  0.5000  2 Tl 2.54
Cr  0.5000  0.0000  0.0000  2 Tl 2.54
Cr  0.0000  0.5000  0.0000  2 Tl 2.54
In  0.5000  0.5000  0.5000  12 Cr 3.59

- symmetry = Pm-3m (221)
- theoretical density (kg/m³) = 6035
- energy (eV/atom) = -31.069
- magnetic moment (μB/cell) = 13.3

=====

Computed, not measured: TlCrIn at its PBEsol-relaxed geometry at the SCAN level of DFT.

Cell: 3.1910 3.1910 6.6527 Å, 103.88 103.88 90.00°
Last column: nearest neighbours and their distance in Å.
Positions (direct):
In  0.3524  0.3524  0.7047  4 Cr 2.88, 4 In 3.19
Cr  0.9947  0.9947  0.9895  4 In 2.88, 4 Tl 3.00, 4 Cr 3.19
Tl  0.6529  0.6529  0.3058  4 Cr 3.00, 4 Tl 3.19

- symmetry = I4mm (107)
- theoretical density (kg/m³) = 9673
- energy (eV/atom) = -41.124
- magnetic moment (μB/cell) = 4.2

=====

Computed, not measured: TlCr2In at its PBEsol-relaxed geometry at the SCAN level of DFT.

Cell: 3.1318 4.1873 5.7375 Å, 90.00 90.00 90.00°
Last column: nearest neighbours and their distance in Å.
Positions (direct):
In  0.0000  0.0000  0.4612  6 Cr 2.72-3.02
Cr  0.0000  0.0000  0.9879  2 In 2.72-3.02, 4 Tl 2.86
Cr  0.5000  0.5000  0.2671  2 Tl 2.77-2.96, 4 In 2.84, 4 Cr 3.07
Tl  0.5000  0.5000  0.7838  6 Cr 2.77-2.96

- symmetry = Pmm2 (25)
- theoretical density (kg/m³) = 9340
- energy (eV/atom) = -35.195
- magnetic moment (μB/cell) = 8.1

=====

Look up the theoretical density of the fifth one.
9673 kg/m³